Compound: MgRuBr2
Source: Alexandria
Functional: PBE-GGA
Structure: relaxed

CIF file:
```
data_MgRuBr2
_space_group_name_H-M_alt 'P 1'
_space_group_IT_number 1
_cell_length_a 7.4233
_cell_length_b 7.4233
_cell_length_c 7.4233
_cell_angle_alpha 133.57
_cell_angle_beta 133.57
_cell_angle_gamma 67.76
loop_
_space_group_symop_operation_xyz
'x,y,z'
loop_
_atom_site_label
_atom_site_type_symbol
_atom_site_fract_x
_atom_site_fract_y
_atom_site_fract_z
Mg1 Mg 0.0000 0.0000 0.0000
Mg2 Mg 0.7500 0.2500 0.5000
Ru1 Ru 0.2500 0.7500 0.5000
Ru2 Ru 0.5000 0.5000 0.0000
Br1 Br 0.1233 0.6250 0.9983
Br2 Br 0.3750 0.3733 0.4983
Br3 Br 0.6267 0.1250 0.0017
Br4 Br 0.8750 0.8767 0.5017
```

Formation energy from raw total energies (kJ per mole of atoms): 21
Symmetry: No. 122
Polymorph energy (0 for the lowest one) (meV per atom): 481
E (eV/atom): -3.332
Density of states at the Fermi level (states/eV per cell): 4.95